# 1
Material: Ni2BMoN
Method: DFT, PBE-GGA
State: relaxed

Values from the calculation:
* uncorrected formation energy: 1.110 eV per formula unit
* size of the total moment: 0.0 μB/f.u.
* volume: 53.28 Å³/cell
* space group: No. 123

a = 3.6031 Å, b = 3.6031 Å, c = 4.1036 Å
α = 90.00°, β = 90.00°, γ = 90.00°
Positions (direct):
Ni1 0.0000 0.5000 0.0000
Ni2 0.5000 0.0000 0.0000
B1 0.0000 0.0000 0.5000
Mo1 0.5000 0.5000 0.5000
N1 0.5000 0.5000 0.0000

---

# 2
Material: BaLiGd2
Method: DFT, PBE-GGA
State: relaxed

Values from the calculation:
* E_form: 33.79 kJ per mole of atoms
* size of the total moment: 15.6 μB/f.u.
* volume: 418.74 Å³/cell
* space group: No. 166

a = 3.6104 Å, b = 3.6104 Å, c = 37.0930 Å
α = 90.00°, β = 90.00°, γ = 120.00°
Positions (direct):
Ba1 0.0000 0.0000 0.0000
Ba2 0.3333 0.6667 0.6667
Ba3 0.6667 0.3333 0.3333
Li1 0.0000 0.0000 0.5000
Li2 0.3333 0.6667 0.1667
Li3 0.6667 0.3333 0.8333
Gd1 0.0000 0.0000 0.0970
Gd2 0.0000 0.0000 0.9030
Gd3 0.3333 0.6667 0.5697
Gd4 0.3333 0.6667 0.7637
Gd5 0.6667 0.3333 0.2363
Gd6 0.6667 0.3333 0.4303

---

# 3
Material: SrCa2S3
Method: DFT, PBE-GGA
State: relaxed

Values from the calculation:
* uncorrected formation energy: -12.825 eV per formula unit
* size of the total moment: 0.0 μB/f.u.
* volume: 298.52 Å³/cell
* space group: No. 71

a = 4.1188 Å, b = 5.8547 Å, c = 12.3791 Å
α = 90.00°, β = 90.00°, γ = 90.00°
Positions (direct):
Sr1 0.0000 0.0000 0.0000
Sr2 0.5000 0.5000 0.5000
Ca1 0.0000 0.0000 0.3332
Ca2 0.0000 0.0000 0.6668
Ca3 0.5000 0.5000 0.1668
Ca4 0.5000 0.5000 0.8332
S1 0.0000 0.5000 0.0000
S2 0.0000 0.5000 0.3256
S3 0.0000 0.5000 0.6744
S4 0.5000 0.0000 0.1744
S5 0.5000 0.0000 0.5000
S6 0.5000 0.0000 0.8256

---

# 4
Material: Ba2AlGe3Au4
Method: DFT, PBE-GGA
State: relaxed

Values from the calculation:
* E_form: -50.62 kJ per mole of atoms
* size of the total moment: 0.0 μB/f.u.
* volume: 233.70 Å³/cell
* space group: No. 115

a = 4.6128 Å, b = 4.6128 Å, c = 10.9836 Å
α = 90.00°, β = 90.00°, γ = 90.00°
Positions (direct):
Ba1 0.0000 0.5000 0.2452
Ba2 0.5000 0.0000 0.7548
Al1 0.0000 0.0000 0.5000
Ge1 0.0000 0.5000 0.8711
Ge2 0.5000 0.0000 0.1289
Ge3 0.5000 0.5000 0.5000
Au1 0.0000 0.0000 0.0000
Au2 0.0000 0.5000 0.6228
Au3 0.5000 0.0000 0.3772
Au4 0.5000 0.5000 0.0000

---

# 5
Material: YEr3Ga
Method: DFT, PBE-GGA
State: relaxed

Values from the calculation:
* E_form: -7.67 kJ per mole of atoms
* size of the total moment: 0.0 μB/f.u.
* volume: 304.30 Å³/cell
* space group: No. 12

a = 7.3545 Å, b = 7.3545 Å, c = 7.6587 Å
α = 120.99°, β = 120.99°, γ = 73.39°
Positions (direct):
Y1 0.0527 0.0527 0.3240
Y2 0.9473 0.9473 0.6760
Er1 0.0952 0.4791 0.2514
Er2 0.4305 0.4305 0.7307
Er3 0.4791 0.0952 0.2514
Er4 0.5209 0.9048 0.7486
Er5 0.5695 0.5695 0.2693
Er6 0.9048 0.5209 0.7486
Ga1 0.2578 0.2578 0.8902
Ga2 0.7422 0.7422 0.1098

---

# 6
Material: Ac3InAg
Method: DFT, PBE-GGA
State: relaxed

Values from the calculation:
* E_form: -10.60 kJ per mole of atoms
* energy above the most stable polymorph in this dataset: 141 meV/atom
* size of the total moment: 0.0 μB/f.u.
* volume: 795.90 Å³/cell
* space group: No. 64

a = 11.1288 Å, b = 11.1288 Å, c = 7.1071 Å
α = 90.00°, β = 90.00°, γ = 115.28°
Positions (direct):
Ac1 0.0674 0.4326 0.7500
Ac2 0.1209 0.8791 0.7875
Ac3 0.2176 0.2176 0.5000
Ac4 0.2824 0.2824 0.0000
Ac5 0.3791 0.6209 0.2875
Ac6 0.4326 0.0674 0.2500
Ac7 0.5674 0.9326 0.7500
Ac8 0.6209 0.3791 0.7125
Ac9 0.7176 0.7176 0.0000
Ac10 0.7824 0.7824 0.5000
Ac11 0.8791 0.1209 0.2125
Ac12 0.9326 0.5674 0.2500
In1 0.0754 0.9246 0.2583
In2 0.4246 0.5754 0.7583
In3 0.5754 0.4246 0.2417
In4 0.9246 0.0754 0.7417
Ag1 0.0997 0.4003 0.2500
Ag2 0.4003 0.0997 0.7500
Ag3 0.5997 0.9003 0.2500
Ag4 0.9003 0.5997 0.7500

---

# 7
Material: Er4ThAl
Method: DFT, PBE-GGA
State: relaxed

Values from the calculation:
* E_form: -11.80 kJ per mole of atoms
* size of the total moment: 0.0 μB/f.u.
* volume: 171.76 Å³/cell
* space group: No. 123

a = 3.5389 Å, b = 3.5389 Å, c = 13.7148 Å
α = 90.00°, β = 90.00°, γ = 90.00°
Positions (direct):
Er1 0.0000 0.0000 0.1344
Er2 0.0000 0.0000 0.8656
Er3 0.5000 0.5000 0.3235
Er4 0.5000 0.5000 0.6765
Th1 0.0000 0.0000 0.5000
Al1 0.5000 0.5000 0.0000

---

# 8
Material: La2Tl2C
Method: DFT, PBE-GGA
State: relaxed

Values from the calculation:
* E_form: 55.61 kJ per mole of atoms
* energy above the most stable polymorph in this dataset: 376 meV/atom
* size of the total moment: 0.0 μB/f.u.
* volume: 276.68 Å³/cell
* space group: No. 139

a = 3.9212 Å, b = 3.9212 Å, c = 17.9943 Å
α = 90.00°, β = 90.00°, γ = 90.00°
Positions (direct):
La1 0.0000 0.0000 0.0807
La2 0.0000 0.0000 0.9193
La3 0.5000 0.5000 0.4193
La4 0.5000 0.5000 0.5807
Tl1 0.0000 0.5000 0.2500
Tl2 0.0000 0.5000 0.7500
Tl3 0.5000 0.0000 0.2500
Tl4 0.5000 0.0000 0.7500
C1 0.0000 0.0000 0.5000
C2 0.5000 0.5000 0.0000

---

# 9
Material: Sr5Bi4H
Method: DFT, PBE-GGA
State: relaxed

Values from the calculation:
* uncorrected energy: -3.3197 eV per atom
* size of the total moment: 0.0 μB/f.u.
* volume: 373.08 Å³/cell
* space group: No. 79

a = 8.1440 Å, b = 8.1440 Å, c = 8.1440 Å
α = 100.10°, β = 100.10°, γ = 130.48°
Positions (direct):
Sr1 0.0000 0.0000 0.0000
Sr2 0.2816 0.6560 0.8248
Sr3 0.4569 0.2816 0.6257
Sr4 0.6560 0.8312 0.3743
Sr5 0.8312 0.4569 0.1752
Bi1 0.1445 0.3669 0.3952
Bi2 0.3669 0.9717 0.2224
Bi3 0.7494 0.1445 0.7776
Bi4 0.9717 0.7494 0.6048
H1 0.6178 0.6178 0.0000

---

# 10
Material: InMoW2
Method: DFT, PBE-GGA
State: relaxed

Values from the calculation:
* E_form: 52.34 kJ per mole of atoms
* size of the total moment: 0.0 μB/f.u.
* volume: 207.95 Å³/cell
* space group: No. 160

a = 2.8760 Å, b = 2.8760 Å, c = 29.0303 Å
α = 90.00°, β = 90.00°, γ = 120.00°
Positions (direct):
In1 0.0000 0.0000 0.0000
In2 0.3333 0.6667 0.6667
In3 0.6667 0.3333 0.3333
Mo1 0.0000 0.0000 0.2482
Mo2 0.3333 0.6667 0.9149
Mo3 0.6667 0.3333 0.5816
W1 0.0000 0.0000 0.5009
W2 0.0000 0.0000 0.7528
W3 0.3333 0.6667 0.1676
W4 0.3333 0.6667 0.4195
W5 0.6667 0.3333 0.0862
W6 0.6667 0.3333 0.8343

---

# 11
Material: Mg2TlOs2
Method: DFT, PBE-GGA
State: relaxed

Values from the calculation:
* E_form: 73.17 kJ per mole of atoms
* energy above the most stable polymorph in this dataset: 338 meV/atom
* size of the total moment: 0.0 μB/f.u.
* volume: 208.58 Å³/cell
* space group: No. 139

a = 5.0836 Å, b = 5.0836 Å, c = 8.0710 Å
α = 90.00°, β = 90.00°, γ = 90.00°
Positions (direct):
Mg1 0.0000 0.5000 0.2500
Mg2 0.0000 0.5000 0.7500
Mg3 0.5000 0.0000 0.2500
Mg4 0.5000 0.0000 0.7500
Tl1 0.0000 0.0000 0.0000
Tl2 0.5000 0.5000 0.5000
Os1 0.0000 0.0000 0.3563
Os2 0.0000 0.0000 0.6437
Os3 0.5000 0.5000 0.1437
Os4 0.5000 0.5000 0.8563

---

# 12
Material: Cr2SbTe6
Method: DFT, PBE-GGA
State: relaxed

Values from the calculation:
* uncorrected formation energy: -1.220 eV per formula unit
* size of the total moment: 4.5 μB/f.u.
* volume: 256.83 Å³/cell
* space group: No. 162

a = 7.1239 Å, b = 7.1239 Å, c = 5.8437 Å
α = 90.00°, β = 90.00°, γ = 120.00°
Positions (direct):
Cr1 0.3333 0.6667 0.0000
Cr2 0.6667 0.3333 0.0000
Sb1 0.0000 0.0000 0.0000
Te1 0.0000 0.3658 0.2571
Te2 0.0000 0.6342 0.7429
Te3 0.3658 0.0000 0.2571
Te4 0.3658 0.3658 0.7429
Te5 0.6342 0.0000 0.7429
Te6 0.6342 0.6342 0.2571

---

# 13
Material: PuGa6Pt12
Method: DFT, PBE-GGA
State: relaxed

Values from the calculation:
* E_form: -48.63 kJ per mole of atoms
* size of the total moment: 5.3 μB/f.u.
* volume: 328.05 Å³/cell
* space group: No. 166

a = 7.2959 Å, b = 7.2959 Å, c = 7.2959 Å
α = 106.46°, β = 106.46°, γ = 106.46°
Positions (direct):
Pu1 0.0000 0.0000 0.0000
Ga1 0.2729 0.2729 0.6978
Ga2 0.2729 0.6978 0.2729
Ga3 0.3022 0.7271 0.7271
Ga4 0.6978 0.2729 0.2729
Ga5 0.7271 0.3022 0.7271
Ga6 0.7271 0.7271 0.3022
Pt1 0.1242 0.5000 0.8758
Pt2 0.1242 0.8758 0.5000
Pt3 0.1462 0.3856 0.3856
Pt4 0.3856 0.1462 0.3856
Pt5 0.3856 0.3856 0.1462
Pt6 0.5000 0.1242 0.8758
Pt7 0.5000 0.8758 0.1242
Pt8 0.6144 0.6144 0.8538
Pt9 0.6144 0.8538 0.6144
Pt10 0.8538 0.6144 0.6144
Pt11 0.8758 0.1242 0.5000
Pt12 0.8758 0.5000 0.1242